! GeH4I3N, optimized geometry, DFT PBE; values from VASP
! VASP energy, eV per atom: -3.870
! Polymorph energy (0 for the lowest one), meV/atom: 0.0
! Magnetization, Bohr magnetons per cell: 0.0
&SYSTEM
  ibrav = 0, nat = 36, ntyp = 4
/
ATOMIC_SPECIES
Ge 72.64 Ge.upf
H 1.01 H.upf
I 126.90 I.upf
N 14.01 N.upf
ATOMIC_POSITIONS crystal
Ge 0.000 0.000 0.000
Ge 0.000 0.500 0.000
Ge 0.499 0.014 0.500
Ge 0.501 0.514 0.500
H 0.001 0.983 0.668
H 0.053 0.798 0.727
H 0.065 0.804 0.608
H 0.119 0.303 0.338
H 0.382 0.796 0.164
H 0.435 0.296 0.889
H 0.446 0.302 0.771
H 0.498 0.979 0.165
H 0.502 0.479 0.835
H 0.554 0.802 0.229
H 0.565 0.796 0.111
H 0.618 0.296 0.836
H 0.881 0.803 0.662
H 0.935 0.304 0.392
H 0.947 0.298 0.273
H 0.999 0.483 0.332
I 0.079 0.724 0.160
I 0.199 0.724 0.880
I 0.222 0.738 0.458
I 0.280 0.223 0.040
I 0.297 0.237 0.618
I 0.424 0.237 0.340
I 0.576 0.737 0.660
I 0.703 0.737 0.382
I 0.720 0.723 0.960
I 0.778 0.238 0.542
I 0.801 0.224 0.120
I 0.921 0.224 0.840
N 0.000 0.346 0.334
N 0.000 0.846 0.666
N 0.500 0.342 0.833
N 0.500 0.842 0.167
CELL_PARAMETERS angstrom
8.335 0.000 0.000
0.000 7.538 0.000
-0.001 0.000 14.430